(1)
VASP calculation (PBE) on LiZn2Co after structural relaxation.

Output
The calculation puts the formation energy at 0.289 eV/atom.

POSCAR file:
```
LiZn2Co
1.0
2.5156 0.0000 0.0000
0.0000 4.5323 0.0000
0.0000 0.0000 10.3123
Li Zn Co
2 4 2
Direct
0.0000 0.0000 0.0000
0.5000 0.5000 0.5000
0.0000 0.0000 0.2671
0.0000 0.0000 0.7329
0.5000 0.5000 0.2329
0.5000 0.5000 0.7671
0.0000 0.0000 0.5000
0.5000 0.5000 0.0000
```

(2)
VASP calculation (PBE) on LiZn3Co after structural relaxation.

Output
The calculation puts the formation energy at -0.085 eV/atom.

POSCAR file:
```
LiZn3Co
1.0
4.1488 0.0000 0.0000
0.0000 4.1562 0.0000
-2.0930 0.0000 7.5485
Li Zn Co
2 6 2
Direct
0.1558 0.2500 0.3130
0.8442 0.7500 0.6870
0.0594 0.7500 0.1189
0.2510 0.7500 0.5014
0.4460 0.7500 0.8905
0.5540 0.2500 0.1095
0.7490 0.2500 0.4986
0.9406 0.2500 0.8811
0.3490 0.2500 0.6983
0.6510 0.7500 0.3017
```

(3)
VASP calculation (PBE) on LiZn6Co after structural relaxation.

Output
The calculation puts the formation energy at 0.103 eV/atom.

POSCAR file:
```
LiZn6Co
1.0
3.3237 1.9189 3.4526
-3.3237 1.9189 3.4526
0.0000 -3.8379 3.4526
Li Zn Co
1 6 1
Direct
0.0000 0.0000 0.0000
0.0327 0.6517 0.6517
0.3483 0.3483 0.9673
0.3483 0.9673 0.3483
0.6517 0.0327 0.6517
0.6517 0.6517 0.0327
0.9673 0.3483 0.3483
0.5000 0.5000 0.5000
```